Entry 1:
A plane-wave DFT calculation with GGA-PBE was carried out for a relaxed Pu2TiAl crystal.

Computed properties:
- ΔE to the lowest computed polymorph: 152 meV per atom
- Electronic total energy: -9.992 eV/atom
- Energy relative to the elements: 0.3 eV per formula unit
- Total moment: 11.8 μB per formula unit
- Calculated volume: 86.9 Å³ per cell

abc: 3.8230 3.8230 5.9453
angles: 90.00 90.00 90.00
With the nearest neighbours (Å) after each atom.
Space group P4/mmm (No. 123)
Symmetry-distinct sites (fractional):
1 Pu 0.0000 0.0000 0.2447 (multiplicity 2)  2 Pu 2.91-3.04, 4 Al 3.07, 4 Ti 3.10
2 Ti 0.5000 0.5000 0.5000 (multiplicity 1)  2 Al 2.97, 8 Pu 3.10
3 Al 0.5000 0.5000 0.0000 (multiplicity 1)  2 Ti 2.97, 8 Pu 3.07


Entry 2:
A plane-wave DFT calculation with GGA-PBE was carried out for a relaxed Pu2TiAl crystal.

Computed properties:
- ΔE to the lowest computed polymorph: 0 meV per atom
- Electronic total energy: -10.144 eV/atom
- Energy relative to the elements: -0.3 eV per formula unit
- Total moment: 9.9 μB per formula unit
- Calculated volume: 81.0 Å³ per cell

abc: 4.1887 4.1887 4.6157
angles: 90.00 90.00 90.00
With the nearest neighbours (Å) after each atom.
Space group P4/mmm (No. 123)
Symmetry-distinct sites (fractional):
1 Pu 0.0000 0.5000 0.0000 (multiplicity 2)  4 Pu 2.96, 4 Al 3.12, 4 Ti 3.12
2 Ti 0.0000 0.0000 0.5000 (multiplicity 1)  4 Al 2.96, 8 Pu 3.12
3 Al 0.5000 0.5000 0.5000 (multiplicity 1)  4 Ti 2.96, 8 Pu 3.12


Entry 3:
A plane-wave DFT calculation with GGA-PBE was carried out for a relaxed PuTiAl2 crystal.

Computed properties:
- ΔE to the lowest computed polymorph: 0 meV per atom
- Electronic total energy: -7.714 eV/atom
- Energy relative to the elements: -1.1 eV per formula unit
- Total moment: 5.1 μB per formula unit
- Calculated volume: 73.6 Å³ per cell

abc: 2.9210 2.9210 8.6202
angles: 90.00 90.00 90.00
With the nearest neighbours (Å) after each atom.
Space group P4/mmm (No. 123)
Symmetry-distinct sites (fractional):
1 Pu 0.0000 0.0000 0.0000 (multiplicity 1)  4 Pu 2.92, 8 Al 3.15
2 Ti 0.0000 0.0000 0.5000 (multiplicity 1)  8 Al 2.83, 4 Ti 2.92
3 Al 0.5000 0.5000 0.2763 (multiplicity 2)  4 Ti 2.83, 4 Al 2.92, 4 Pu 3.15


Entry 4:
A plane-wave DFT calculation with GGA-PBE was carried out for a relaxed PuTi2Al crystal.

Computed properties:
- ΔE to the lowest computed polymorph: 0 meV per atom
- Electronic total energy: -8.574 eV/atom
- Energy relative to the elements: -0.4 eV per formula unit
- Total moment: 4.7 μB per formula unit
- Calculated volume: 70.9 Å³ per cell

abc: 4.7931 4.7931 3.0868
angles: 90.00 90.00 90.00
With the nearest neighbours (Å) after each atom.
Space group P4/mmm (No. 123)
Symmetry-distinct sites (fractional):
1 Pu 0.0000 0.0000 0.0000 (multiplicity 1)  8 Ti 2.85, 2 Pu 3.09
2 Ti 0.0000 0.5000 0.5000 (multiplicity 2)  4 Pu 2.85, 4 Al 2.85, 2 Ti 3.09
3 Al 0.5000 0.5000 0.0000 (multiplicity 1)  8 Ti 2.85, 2 Al 3.09


Entry 5:
A plane-wave DFT calculation with GGA-PBE was carried out for a relaxed PuTiAlV crystal.

Computed properties:
- Electronic total energy: -8.778 eV/atom
- Energy relative to the elements: 0.0 eV per formula unit
- Total moment: 6.3 μB per formula unit
- Calculated volume: 275.8 Å³ per cell

abc: 6.5090 6.5090 6.5090
angles: 90.00 90.00 90.00
With the nearest neighbours (Å) after each atom.
Space group F-43m (No. 216)
Symmetry-distinct sites (fractional):
1 Pu 0.0000 0.0000 0.0000 (multiplicity 4)  4 Ti 2.82, 4 V 2.82
2 Ti 0.2500 0.2500 0.2500 (multiplicity 4)  4 Al 2.82, 4 Pu 2.82
3 Al 0.0000 0.0000 0.5000 (multiplicity 4)  4 Ti 2.82, 4 V 2.82
4 V 0.2500 0.2500 0.7500 (multiplicity 4)  4 Pu 2.82, 4 Al 2.82


Entry 6:
A plane-wave DFT calculation with GGA-PBE was carried out for a relaxed PuZrTiAl crystal.

Computed properties:
- Electronic total energy: -8.671 eV/atom
- Energy relative to the elements: -0.2 eV per formula unit
- Total moment: 6.4 μB per formula unit
- Calculated volume: 318.6 Å³ per cell

abc: 6.8301 6.8301 6.8301
angles: 90.00 90.00 90.00
With the nearest neighbours (Å) after each atom.
Space group F-43m (No. 216)
Symmetry-distinct sites (fractional):
1 Pu 0.0000 0.0000 0.0000 (multiplicity 4)  4 Zr 2.96, 4 Ti 2.96
2 Zr 0.2500 0.2500 0.7500 (multiplicity 4)  4 Al 2.96, 4 Pu 2.96
3 Ti 0.2500 0.2500 0.2500 (multiplicity 4)  4 Pu 2.96, 4 Al 2.96
4 Al 0.0000 0.0000 0.5000 (multiplicity 4)  4 Ti 2.96, 4 Zr 2.96


Entry 7:
A plane-wave DFT calculation with GGA-PBE was carried out for a relaxed PuAl4Tl crystal.

Computed properties:
- Electronic total energy: -5.302 eV/atom
- Energy relative to the elements: -0.1 eV per formula unit
- Total moment: 6.1 μB per formula unit
- Calculated volume: 495.1 Å³ per cell

abc: 7.9108 7.9108 7.9108
angles: 90.00 90.00 90.00
With the nearest neighbours (Å) after each atom.
Space group F-43m (No. 216)
Symmetry-distinct sites (fractional):
1 Pu 0.0000 0.0000 0.0000 (multiplicity 4)  12 Al 3.28, 4 Tl 3.43
2 Al 0.1263 0.1263 0.3737 (multiplicity 16)  6 Al 2.77-2.83
3 Tl 0.2500 0.2500 0.7500 (multiplicity 4)  12 Al 3.28, 4 Pu 3.43


Entry 8:
A plane-wave DFT calculation with GGA-PBE was carried out for a relaxed TmPuAlTl crystal.

Computed properties:
- Electronic total energy: -6.369 eV/atom
- Energy relative to the elements: -0.6 eV per formula unit
- Total moment: 5.8 μB per formula unit
- Calculated volume: 404.8 Å³ per cell

abc: 7.3977 7.3977 7.3977
angles: 90.00 90.00 90.00
With the nearest neighbours (Å) after each atom.
Space group F-43m (No. 216)
Symmetry-distinct sites (fractional):
1 Tm 0.0000 0.0000 0.0000 (multiplicity 4)  4 Tl 3.20, 4 Al 3.20
2 Pu 0.0000 0.0000 0.5000 (multiplicity 4)  4 Tl 3.20, 4 Al 3.20
3 Al 0.2500 0.2500 0.7500 (multiplicity 4)  4 Tm 3.20, 4 Pu 3.20
4 Tl 0.2500 0.2500 0.2500 (multiplicity 4)  4 Tm 3.20, 4 Pu 3.20


Entry 9:
A plane-wave DFT calculation with GGA-PBE was carried out for a relaxed YPuAlTl crystal.

Computed properties:
- Electronic total energy: -6.885 eV/atom
- Energy relative to the elements: -0.6 eV per formula unit
- Total moment: 5.9 μB per formula unit
- Calculated volume: 413.8 Å³ per cell

abc: 7.4517 7.4517 7.4517
angles: 90.00 90.00 90.00
With the nearest neighbours (Å) after each atom.
Space group F-43m (No. 216)
Symmetry-distinct sites (fractional):
1 Y 0.0000 0.0000 0.0000 (multiplicity 4)  4 Al 3.23, 4 Tl 3.23
2 Pu 0.0000 0.0000 0.5000 (multiplicity 4)  4 Tl 3.23, 4 Al 3.23
3 Al 0.2500 0.2500 0.7500 (multiplicity 4)  4 Pu 3.23, 4 Y 3.23
4 Tl 0.2500 0.2500 0.2500 (multiplicity 4)  4 Pu 3.23, 4 Y 3.23


Entry 10:
A plane-wave DFT calculation with GGA-PBE was carried out for a relaxed Tm2PuAl crystal.

Computed properties:
- ΔE to the lowest computed polymorph: 140 meV per atom
- Electronic total energy: -6.742 eV/atom
- Energy relative to the elements: 0.1 eV per formula unit
- Total moment: 6.2 μB per formula unit
- Calculated volume: 405.2 Å³ per cell

abc: 7.3997 7.3997 7.3997
angles: 90.00 90.00 90.00
With the nearest neighbours (Å) after each atom.
Space group Fm-3m (No. 225)
Symmetry-distinct sites (fractional):
1 Tm 0.2500 0.2500 0.2500 (multiplicity 8)  4 Pu 3.20, 4 Al 3.20
2 Pu 0.0000 0.0000 0.0000 (multiplicity 4)  8 Tm 3.20
3 Al 0.0000 0.0000 0.5000 (multiplicity 4)  8 Tm 3.20


Entry 11:
A plane-wave DFT calculation with GGA-PBE was carried out for a relaxed TmPu2Al crystal.

Computed properties:
- ΔE to the lowest computed polymorph: 196 meV per atom
- Electronic total energy: -9.113 eV/atom
- Energy relative to the elements: 0.4 eV per formula unit
- Total moment: 11.9 μB per formula unit
- Calculated volume: 400.0 Å³ per cell

abc: 7.3678 7.3678 7.3678
angles: 90.00 90.00 90.00
With the nearest neighbours (Å) after each atom.
Space group Fm-3m (No. 225)
Symmetry-distinct sites (fractional):
1 Tm 0.0000 0.0000 0.0000 (multiplicity 4)  8 Pu 3.19
2 Pu 0.2500 0.2500 0.2500 (multiplicity 8)  4 Tm 3.19, 4 Al 3.19
3 Al 0.0000 0.0000 0.5000 (multiplicity 4)  8 Pu 3.19


Entry 12:
A plane-wave DFT calculation with GGA-PBE was carried out for a relaxed Tm2PuAl crystal.

Computed properties:
- ΔE to the lowest computed polymorph: 439 meV per atom
- Electronic total energy: -6.443 eV/atom
- Energy relative to the elements: 1.2 eV per formula unit
- Total moment: 5.5 μB per formula unit
- Calculated volume: 332.6 Å³ per cell

abc: 3.3255 3.3255 34.7265
angles: 90.00 90.00 120.00
With the nearest neighbours (Å) after each atom.
Space group R-3m (No. 166, hexagonal axes)
Symmetry-distinct sites (fractional):
1 Tm 0.0000 0.0000 0.0871 (multiplicity 6)  1 Al 3.03, 6 Tm 3.33, 3 Pu 3.36
2 Pu 0.0000 0.0000 0.5000 (multiplicity 3)  6 Pu 3.33, 6 Tm 3.36
3 Al 0.0000 0.0000 0.0000 (multiplicity 3)  2 Tm 3.03, 6 Al 3.33


Entry 13:
A plane-wave DFT calculation with GGA-PBE was carried out for a relaxed TmPu2Al crystal.

Computed properties:
- ΔE to the lowest computed polymorph: 229 meV per atom
- Electronic total energy: -9.079 eV/atom
- Energy relative to the elements: 0.6 eV per formula unit
- Total moment: 11.6 μB per formula unit
- Calculated volume: 307.3 Å³ per cell

abc: 3.3098 3.3098 32.3928
angles: 90.00 90.00 120.00
With the nearest neighbours (Å) after each atom.
Space group R-3m (No. 166, hexagonal axes)
Symmetry-distinct sites (fractional):
1 Tm 0.0000 0.0000 0.0000 (multiplicity 3)  6 Tm 3.31, 6 Pu 3.50
2 Pu 0.0000 0.0000 0.2429 (multiplicity 6)  3 Al 3.12, 6 Pu 3.31, 3 Tm 3.50
3 Al 0.0000 0.0000 0.5000 (multiplicity 3)  6 Pu 3.12, 6 Al 3.31


Entry 14:
A plane-wave DFT calculation with GGA-PBE was carried out for a relaxed Tm2Pu2Al15 crystal.

Computed properties:
- Electronic total energy: -5.120 eV/atom
- Energy relative to the elements: -3.5 eV per formula unit
- Total moment: 12.2 μB per formula unit
- Calculated volume: 1096.3 Å³ per cell

abc: 9.5564 9.5564 13.8614
angles: 90.00 90.00 120.00
With the nearest neighbours (Å) after each atom.
Space group R-3m (No. 166, hexagonal axes)
Symmetry-distinct sites (fractional):
1 Tm 0.0000 0.0000 0.1086 (multiplicity 6)  12 Al 2.87-3.17, 1 Tm 3.01
2 Pu 0.0000 0.0000 0.3537 (multiplicity 6)  12 Al 3.21-3.53, 1 Tm 3.40
3 Al 0.0000 0.2920 0.0000 (multiplicity 18)  8 Al 2.72-2.96
4 Al 0.0000 0.5000 0.5000 (multiplicity 9)  8 Al 2.72-2.81, 2 Tm 2.87
5 Al 0.0098 0.5049 0.1475 (multiplicity 18)  8 Al 2.73-2.96, 1 Tm 3.03


Entry 15:
A plane-wave DFT calculation with GGA-PBE was carried out for a relaxed Tm2PuAl crystal.

Computed properties:
- ΔE to the lowest computed polymorph: 0 meV per atom
- Electronic total energy: -6.882 eV/atom
- Energy relative to the elements: -0.5 eV per formula unit
- Total moment: 6.1 μB per formula unit
- Calculated volume: 102.3 Å³ per cell

abc: 3.4104 3.4104 8.7983
angles: 90.00 90.00 90.00
With the nearest neighbours (Å) after each atom.
Space group P4/mmm (No. 123)
Symmetry-distinct sites (fractional):
1 Tm 0.0000 0.0000 0.2184 (multiplicity 2)  4 Al 3.08, 4 Tm 3.41
2 Pu 0.5000 0.5000 0.5000 (multiplicity 1)  4 Pu 3.41, 8 Tm 3.46
3 Al 0.5000 0.5000 0.0000 (multiplicity 1)  8 Tm 3.08, 4 Al 3.41


Entry 16:
A plane-wave DFT calculation with GGA-PBE was carried out for a relaxed Tm2PuAl crystal.

Computed properties:
- ΔE to the lowest computed polymorph: 48 meV per atom
- Electronic total energy: -6.833 eV/atom
- Energy relative to the elements: -0.3 eV per formula unit
- Total moment: 6.5 μB per formula unit
- Calculated volume: 101.6 Å³ per cell

abc: 4.7277 4.7277 4.5477
angles: 90.00 90.00 90.00
With the nearest neighbours (Å) after each atom.
Space group P4/mmm (No. 123)
Symmetry-distinct sites (fractional):
1 Tm 0.0000 0.5000 0.0000 (multiplicity 2)  4 Al 3.28, 4 Pu 3.28, 4 Tm 3.34
2 Pu 0.0000 0.0000 0.5000 (multiplicity 1)  8 Tm 3.28, 4 Al 3.34
3 Al 0.5000 0.5000 0.5000 (multiplicity 1)  8 Tm 3.28, 4 Pu 3.34


Entry 17:
A plane-wave DFT calculation with GGA-PBE was carried out for a relaxed TmPu3Al8 crystal.

Computed properties:
- ΔE to the lowest computed polymorph: 0 meV per atom
- Electronic total energy: -6.823 eV/atom
- Energy relative to the elements: -4.5 eV per formula unit
- Total moment: 5.2 μB per formula unit
- Calculated volume: 712.0 Å³ per cell

abc: 5.5225 5.5225 26.9567
angles: 90.00 90.00 120.00
With the nearest neighbours (Å) after each atom.
Space group R3m (No. 160, hexagonal axes)
Symmetry-distinct sites (fractional):
1 Tm 0.0000 0.0000 0.0000 (multiplicity 3)  12 Al 3.21-3.25, 4 Pu 3.39-3.43
2 Pu 0.0000 0.0000 0.1259 (multiplicity 3)  12 Al 3.20-3.27, 3 Pu 3.37, 1 Tm 3.39
3 Pu 0.0000 0.0000 0.5001 (multiplicity 3)  4 Pu 3.21-3.37, 12 Al 3.23-3.28
4 Pu 0.0000 0.0000 0.6193 (multiplicity 3)  12 Al 3.16-3.32, 1 Pu 3.21, 3 Tm 3.43
5 Al 0.0000 0.0000 0.3109 (multiplicity 3)  6 Al 2.73-2.75
6 Al 0.0000 0.0000 0.8111 (multiplicity 3)  6 Al 2.76-2.78
7 Al 0.9999 0.4999 0.5621 (multiplicity 9)  6 Al 2.73-2.78
8 Al 0.1672 0.3344 0.3940 (multiplicity 9)  6 Al 2.75-2.77


Entry 18:
A plane-wave DFT calculation with GGA-PBE was carried out for a relaxed TmPuAl2 crystal.

Computed properties:
- ΔE to the lowest computed polymorph: 6 meV per atom
- Electronic total energy: -6.822 eV/atom
- Energy relative to the elements: -1.0 eV per formula unit
- Total moment: 5.3 μB per formula unit
- Calculated volume: 361.9 Å³ per cell

abc: 7.1265 7.1265 7.1265
angles: 90.00 90.00 90.00
With the nearest neighbours (Å) after each atom.
Space group Fm-3m (No. 225)
Symmetry-distinct sites (fractional):
1 Tm 0.0000 0.0000 0.0000 (multiplicity 4)  8 Al 3.09
2 Pu 0.0000 0.0000 0.5000 (multiplicity 4)  8 Al 3.09
3 Al 0.2500 0.2500 0.2500 (multiplicity 8)  4 Tm 3.09, 4 Pu 3.09


Entry 19:
A plane-wave DFT calculation with GGA-PBE was carried out for a relaxed TmPu3Al8 crystal.

Computed properties:
- ΔE to the lowest computed polymorph: 6 meV per atom
- Electronic total energy: -6.818 eV/atom
- Energy relative to the elements: -4.4 eV per formula unit
- Total moment: 5.5 μB per formula unit
- Calculated volume: 235.9 Å³ per cell

abc: 5.5768 5.5768 8.7577
angles: 90.00 90.00 120.00
With the nearest neighbours (Å) after each atom.
Space group P3m1 (No. 156)
Symmetry-distinct sites (fractional):
1 Tm 0.0000 0.0000 0.0000 (multiplicity 1)  4 Pu 3.18-3.54, 12 Al 3.19-3.29
2 Pu 0.0000 0.0000 0.3627 (multiplicity 1)  1 Tm 3.18, 12 Al 3.19-3.27, 3 Pu 3.50
3 Pu 0.6667 0.3333 0.5192 (multiplicity 1)  1 Pu 2.75
4 Pu 0.6667 0.3333 0.8331 (multiplicity 1)  1 Pu 2.75
5 Al 0.1609 0.3218 0.6807 (multiplicity 3)  6 Al 2.69-2.88
6 Al 0.3333 0.6667 0.4272 (multiplicity 1)  6 Al 2.76-2.78
7 Al 0.3333 0.6667 0.9256 (multiplicity 1)  6 Al 2.72-2.76
8 Al 0.5059 0.0118 0.1766 (multiplicity 3)  6 Al 2.69-2.89


Entry 20:
A plane-wave DFT calculation with GGA-PBE was carried out for a relaxed TmPuAl2 crystal.

Computed properties:
- ΔE to the lowest computed polymorph: 0 meV per atom
- Electronic total energy: -6.827 eV/atom
- Energy relative to the elements: -1.0 eV per formula unit
- Total moment: 5.3 μB per formula unit
- Calculated volume: 88.4 Å³ per cell

abc: 3.1729 3.1729 8.7854
angles: 90.00 90.00 90.00
With the nearest neighbours (Å) after each atom.
Space group P4/mmm (No. 123)
Symmetry-distinct sites (fractional):
1 Tm 0.0000 0.0000 0.0000 (multiplicity 1)  8 Al 3.12, 4 Tm 3.17
2 Pu 0.0000 0.0000 0.5000 (multiplicity 1)  8 Al 3.16, 4 Pu 3.17
3 Al 0.5000 0.5000 0.2467 (multiplicity 2)  4 Tm 3.12, 4 Pu 3.16, 4 Al 3.17